No. 1
Pm6Nd5Er: optimized geometry, GGA-PBE.

Lattice parameters (Å, degrees): 12.1231 6.3252 6.3236 59.99 84.99 79.95
Last column: nearest neighbours and their distance in Å.
Positions (direct):
Pm 0.7515 0.0824 0.3320  1 Er 3.63, 6 Pm 3.64-3.66, 5 Nd 3.64-3.67
Pm 0.2485 0.5856 0.3320  1 Er 3.63, 6 Pm 3.64-3.66, 5 Nd 3.64-3.67
Pm 0.2487 0.2497 0.0000  6 Pm 3.64-3.66, 1 Er 3.64, 5 Nd 3.64-3.67
Pm 0.7513 0.7503 0.0000  6 Pm 3.64-3.66, 1 Er 3.64, 5 Nd 3.64-3.67
Pm 0.7515 0.4144 0.6680  1 Er 3.63, 6 Pm 3.64-3.66, 5 Nd 3.64-3.67
Pm 0.2485 0.9176 0.6680  1 Er 3.63, 6 Pm 3.64-3.66, 5 Nd 3.64-3.67
Nd 0.5000 0.1664 0.6671  6 Nd 3.65, 6 Pm 3.66-3.67
Nd 0.0000 0.3333 0.3335  6 Pm 3.64, 3 Er 3.65, 3 Nd 3.65
Nd 0.5000 0.5000 0.0000  6 Nd 3.65, 6 Pm 3.67
Nd 0.0000 0.6667 0.6665  6 Pm 3.64, 3 Er 3.65, 3 Nd 3.65
Nd 0.5000 0.8336 0.3329  6 Nd 3.65, 6 Pm 3.66-3.67
Er 0.0000 0.0000 0.0000  6 Pm 3.63-3.64, 6 Nd 3.65

Computed properties:
**Symmetry**: No. 12

---

No. 2
ZnCdRh2: optimized geometry, GGA-PBE.

Lattice parameters (Å, degrees): 2.8674 2.8674 7.7323 90.00 90.00 90.00
Last column: nearest neighbours and their distance in Å.
Positions (direct):
Cd 0.5000 0.5000 0.7600  4 Rh 2.86, 4 Cd 2.87, 4 Zn 3.04
Rh 0.0000 0.0000 0.0214  8 Rh 2.69-2.87, 4 Cd 2.86
Rh 0.5000 0.5000 0.2510  4 Zn 2.63, 8 Rh 2.69-2.87
Zn 0.0000 0.0000 0.4676  4 Rh 2.63, 4 Zn 2.87

Computed properties:
**Symmetry**: No. 99

---

No. 3
Re2PtCl: optimized geometry, GGA-PBE.

Lattice parameters (Å, degrees): 5.3577 5.3577 5.3577 149.83 126.06 63.06
Last column: nearest neighbours and their distance in Å.
Positions (direct):
Cl 0.7500 0.2500 0.5000  4 Re 2.57, 2 Cl 2.79, 4 Pt 2.80
Pt 0.2500 0.7500 0.5000  4 Re 2.79, 2 Pt 2.79, 4 Cl 2.80
Re 0.9859 0.9859 0.0000  2 Cl 2.57, 2 Pt 2.79, 6 Re 2.79-2.81
Re 0.5141 0.5141 0.0000  2 Cl 2.57, 2 Pt 2.79, 6 Re 2.79-2.81

Computed properties:
**Symmetry**: No. 71
**ΔE_f (raw)**: 896 meV/atom
**Excess energy over the best structure of this formula in the dataset**: 2.64 eV per formula unit

---

No. 4
Sc2TlIn2: optimized geometry, GGA-PBE.

Lattice parameters (Å, degrees): 8.3779 8.3779 3.4711 90.00 90.00 90.00
Last column: nearest neighbours and their distance in Å.
Positions (direct):
Sc 0.1783 0.6783 0.5000  6 In 2.93-3.09
Sc 0.6783 0.8217 0.5000  6 In 2.93-3.09
Sc 0.8217 0.3217 0.5000  6 In 2.93-3.09
Sc 0.3217 0.1783 0.5000  6 In 2.93-3.09
Tl 0.0000 0.0000 0.0000  4 In 3.33, 2 Tl 3.47, 8 Sc 3.54
Tl 0.5000 0.5000 0.0000  4 In 3.33, 2 Tl 3.47, 8 Sc 3.54
In 0.3776 0.8776 0.0000  1 In 2.90, 6 Sc 2.93-3.09
In 0.8776 0.6224 0.0000  1 In 2.90, 6 Sc 2.93-3.09
In 0.6224 0.1224 0.0000  1 In 2.90, 6 Sc 2.93-3.09
In 0.1224 0.3776 0.0000  1 In 2.90, 6 Sc 2.93-3.09

Computed properties:
**Symmetry**: No. 127
**Excess energy over the best structure of this formula in the dataset**: 0.00 eV per formula unit

---

Values for V, Å³/f.u., ordered as above
413.5, 63.6, 61.9, 121.8
Values for total energy, eV per atom, ordered as above
-4.729, -4.285, -7.300, -4.326